Compound: LaSiOsSe2
Source: Alexandria
Functional: PBE-GGA
Structure: optimized geometry Values from VASP.

Total moment (Bohr magnetons per cell): 2.50
Uncorrected energy (eV/cell): -22.248
E_form (uncorrected) (meV per atom): 1260
Symmetry: P4/mmm, No. 123

Geometry as Quantum ESPRESSO input:
```
&SYSTEM
  ibrav = 0, nat = 5, ntyp = 4
/
ATOMIC_SPECIES
La 138.91 La.upf
Si 28.09 Si.upf
Os 190.23 Os.upf
Se 78.96 Se.upf
ATOMIC_POSITIONS angstrom
La 0.000 0.000 0.000
Si 2.856 2.856 2.620
Os 0.000 0.000 2.620
Se 0.000 2.856 0.000
Se 2.856 0.000 0.000
CELL_PARAMETERS angstrom
5.712 0.000 0.000
0.000 5.712 0.000
0.000 0.000 5.240
```

---

Compound: Cr2Rh
Source: Alexandria
Functional: PBE-GGA
Structure: optimized geometry Values from VASP.

DFT formation energy (meV/atom): 84
Total moment (Bohr magnetons per cell): 0.00
Uncorrected energy (eV/cell): -52.693
Symmetry: Cm, No. 8

Geometry as Quantum ESPRESSO input:
```
&SYSTEM
  ibrav = 0, nat = 6, ntyp = 2
/
ATOMIC_SPECIES
Cr 52.00 Cr.upf
Rh 102.91 Rh.upf
ATOMIC_POSITIONS angstrom
Cr 0.000 0.000 0.000
Cr -0.365 0.000 3.670
Cr 2.193 0.000 4.028
Cr 5.929 0.000 2.060
Rh 3.351 0.000 1.725
Rh 5.397 0.000 5.630
CELL_PARAMETERS angstrom
4.788 -1.317 0.000
4.788 1.317 0.000
-1.595 0.000 5.993
```

---

Compound: Sc3TcAg
Source: Alexandria
Functional: PBE-GGA
Structure: optimized geometry Values from VASP.

DFT formation energy (meV/atom): 180
Total moment (Bohr magnetons per cell): 0.00
Uncorrected energy (eV/cell): -31.311
Relative energy among the computed polymorphs (meV/atom): 0.0
Symmetry: Pm-3m, No. 221

Geometry as Quantum ESPRESSO input:
```
&SYSTEM
  ibrav = 0, nat = 5, ntyp = 3
/
ATOMIC_SPECIES
Sc 44.96 Sc.upf
Tc 98.00 Tc.upf
Ag 107.87 Ag.upf
ATOMIC_POSITIONS angstrom
Sc 0.000 0.000 2.495
Sc 0.000 2.495 0.000
Sc 2.495 0.000 0.000
Tc 0.000 0.000 0.000
Ag 2.495 2.495 2.495
CELL_PARAMETERS angstrom
4.990 0.000 0.000
0.000 4.990 0.000
0.000 0.000 4.990
```

---

Compound: YPaV4
Source: Alexandria
Functional: PBE-GGA
Structure: optimized geometry Values from VASP.

DFT formation energy (meV/atom): 197
Total moment (Bohr magnetons per cell): 0.00
Uncorrected energy (eV/cell): -51.255
Symmetry: F-43m, No. 216

Geometry as Quantum ESPRESSO input:
```
&SYSTEM
  ibrav = 0, nat = 6, ntyp = 3
/
ATOMIC_SPECIES
Y 88.91 Y.upf
Pa 231.04 Pa.upf
V 50.94 V.upf
ATOMIC_POSITIONS angstrom
Y 0.000 0.000 0.000
Pa 1.881 1.881 1.881
V 4.687 2.836 2.836
V 2.836 4.687 2.836
V 2.836 2.836 4.687
V 4.687 4.687 4.687
CELL_PARAMETERS angstrom
0.000 3.762 3.762
3.762 0.000 3.762
3.762 3.762 0.000
```

---

Compound: RbSiBiSe4
Source: Alexandria
Functional: PBE-GGA
Structure: optimized geometry Values from VASP.

Total moment (Bohr magnetons per cell): 0.00
Uncorrected energy (eV/cell): -57.855
E_form (uncorrected) (meV per atom): -674
Symmetry: P2_1/m, No. 11

Geometry as Quantum ESPRESSO input:
```
&SYSTEM
  ibrav = 0, nat = 14, ntyp = 4
/
ATOMIC_SPECIES
Rb 85.47 Rb.upf
Si 28.09 Si.upf
Bi 208.98 Bi.upf
Se 78.96 Se.upf
ATOMIC_POSITIONS angstrom
Rb 0.317 1.785 3.940
Rb 3.577 5.354 5.077
Si 1.419 5.354 1.534
Si 2.474 1.785 7.483
Bi -0.997 1.785 8.622
Bi 4.890 5.354 0.395
Se -2.230 5.354 8.375
Se -0.384 5.354 2.916
Se 1.069 7.137 7.110
Se 1.069 3.571 7.110
Se 2.824 0.002 1.907
Se 2.824 3.568 1.907
Se 4.278 1.785 6.101
Se 6.123 1.785 0.643
CELL_PARAMETERS angstrom
6.851 0.000 0.000
0.000 7.139 0.000
-2.957 0.000 9.017
```

---

Compound: RuPt6Rh
Source: Alexandria
Functional: PBE-GGA
Structure: optimized geometry Values from VASP.

DFT formation energy (meV/atom): 0
Total moment (Bohr magnetons per cell): 0.00
Uncorrected energy (eV/cell): -52.868
Relative energy among the computed polymorphs (meV/atom): 12.5
Symmetry: P4/mmm, No. 123

Geometry as Quantum ESPRESSO input:
```
&SYSTEM
  ibrav = 0, nat = 8, ntyp = 3
/
ATOMIC_SPECIES
Ru 101.07 Ru.upf
Pt 195.08 Pt.upf
Rh 102.91 Rh.upf
ATOMIC_POSITIONS angstrom
Ru 0.000 0.000 0.000
Pt 0.000 1.967 1.948
Pt 0.000 1.967 5.935
Pt 1.967 0.000 1.948
Pt 1.967 0.000 5.935
Pt 1.967 1.967 0.000
Pt 1.967 1.967 3.941
Rh 0.000 0.000 3.941
CELL_PARAMETERS angstrom
3.934 0.000 0.000
0.000 3.934 0.000
0.000 0.000 7.882
```

---

Compound: Ac4AlSn2
Source: Alexandria
Functional: PBE-GGA
Structure: optimized geometry Values from VASP.

DFT formation energy (meV/atom): -133
Total moment (Bohr magnetons per cell): 0.00
Uncorrected energy (eV/cell): -29.111
Relative energy among the computed polymorphs (meV/atom): 200.2
Symmetry: I4/mmm, No. 139

Geometry as Quantum ESPRESSO input:
```
&SYSTEM
  ibrav = 0, nat = 7, ntyp = 3
/
ATOMIC_SPECIES
Ac 227.00 Ac.upf
Al 26.98 Al.upf
Sn 118.71 Sn.upf
ATOMIC_POSITIONS angstrom
Ac 2.865 0.000 0.000
Ac 0.000 0.000 3.254
Ac 0.000 2.865 0.000
Ac 0.000 0.000 14.551
Al 0.000 0.000 0.000
Sn 0.000 0.000 6.603
Sn 0.000 0.000 11.202
CELL_PARAMETERS angstrom
-2.865 2.865 8.903
2.865 -2.865 8.903
2.865 2.865 -8.903
```

---

Compound: Ba3TmTl4
Source: Alexandria
Functional: PBE-GGA
Structure: optimized geometry Values from VASP.

DFT formation energy (meV/atom): -354
Total moment (Bohr magnetons per cell): 0.00
Uncorrected energy (eV/cell): -22.536
Symmetry: P4/mmm, No. 123

Geometry as Quantum ESPRESSO input:
```
&SYSTEM
  ibrav = 0, nat = 8, ntyp = 3
/
ATOMIC_SPECIES
Ba 137.33 Ba.upf
Tm 168.93 Tm.upf
Tl 204.38 Tl.upf
ATOMIC_POSITIONS angstrom
Ba 0.000 0.000 0.000
Ba 0.000 0.000 4.513
Ba 0.000 0.000 12.540
Tm 0.000 0.000 8.526
Tl 2.049 2.049 2.193
Tl 2.049 2.049 6.866
Tl 2.049 2.049 10.187
Tl 2.049 2.049 14.859
CELL_PARAMETERS angstrom
4.097 0.000 0.000
0.000 4.097 0.000
0.000 0.000 17.053
```

---

Compound: CoSbPb2
Source: Alexandria
Functional: PBE-GGA
Structure: optimized geometry Values from VASP.

Total moment (Bohr magnetons per cell): 0.00
Uncorrected energy (eV/cell): -17.983
Relative energy among the computed polymorphs (meV/atom): 34.6
E_form (uncorrected) (meV per atom): 165
Symmetry: Pm, No. 6

Geometry as Quantum ESPRESSO input:
```
&SYSTEM
  ibrav = 0, nat = 4, ntyp = 3
/
ATOMIC_SPECIES
Co 58.93 Co.upf
Sb 121.76 Sb.upf
Pb 207.20 Pb.upf
ATOMIC_POSITIONS angstrom
Co 0.000 0.000 0.000
Sb 1.900 1.672 0.598
Pb 0.031 0.000 2.970
Pb 1.943 1.672 5.552
CELL_PARAMETERS angstrom
3.792 0.000 0.000
0.000 3.344 0.000
-1.817 0.000 7.815
```

---

Compound: ZnSi2Ag2
Source: Alexandria
Functional: PBE-GGA
Structure: optimized geometry Values from VASP.

Total moment (Bohr magnetons per cell): 0.00
Uncorrected energy (eV/cell): -16.425
Relative energy among the computed polymorphs (meV/atom): 0.0
E_form (uncorrected) (meV per atom): 279
Symmetry: I4/mmm, No. 139

Geometry as Quantum ESPRESSO input:
```
&SYSTEM
  ibrav = 0, nat = 5, ntyp = 3
/
ATOMIC_SPECIES
Zn 65.41 Zn.upf
Si 28.09 Si.upf
Ag 107.87 Ag.upf
ATOMIC_POSITIONS angstrom
Zn 0.000 0.000 0.000
Si 1.725 0.000 3.674
Si 0.000 1.725 3.674
Ag 0.000 0.000 5.936
Ag 0.000 0.000 8.759
CELL_PARAMETERS angstrom
-1.725 1.725 7.347
1.725 -1.725 7.347
1.725 1.725 -7.347
```

---

Compound: La4NdGa
Source: Alexandria
Functional: PBE-GGA
Structure: optimized geometry Values from VASP.

DFT formation energy (meV/atom): -174
Total moment (Bohr magnetons per cell): 0.00
Uncorrected energy (eV/cell): -28.551
Relative energy among the computed polymorphs (meV/atom): 0.0
Symmetry: P4/mmm, No. 123

Geometry as Quantum ESPRESSO input:
```
&SYSTEM
  ibrav = 0, nat = 6, ntyp = 3
/
ATOMIC_SPECIES
La 138.91 La.upf
Nd 144.24 Nd.upf
Ga 69.72 Ga.upf
ATOMIC_POSITIONS angstrom
La 0.000 0.000 1.811
La 0.000 0.000 12.139
La 1.889 1.889 4.407
La 1.889 1.889 9.543
Nd 0.000 0.000 6.975
Ga 1.889 1.889 0.000
CELL_PARAMETERS angstrom
3.779 0.000 0.000
0.000 3.779 0.000
0.000 0.000 13.950
```

---

Compound: NbP2SeI
Source: Alexandria
Functional: PBE-GGA
Structure: optimized geometry Values from VASP.

Total moment (Bohr magnetons per cell): 0.01
Uncorrected energy (eV/cell): -16.949
E_form (uncorrected) (meV per atom): 1795
Symmetry: P4/mmm, No. 123

Geometry as Quantum ESPRESSO input:
```
&SYSTEM
  ibrav = 0, nat = 5, ntyp = 4
/
ATOMIC_SPECIES
Nb 92.91 Nb.upf
P 30.97 P.upf
Se 78.96 Se.upf
I 126.90 I.upf
ATOMIC_POSITIONS angstrom
Nb 0.000 0.000 0.000
P 0.000 2.533 2.602
P 2.533 0.000 2.602
Se 2.533 2.533 0.000
I 0.000 0.000 2.602
CELL_PARAMETERS angstrom
5.067 0.000 0.000
0.000 5.067 0.000
0.000 0.000 5.203
```